a.
Ni2AsCl: relaxed, PBE.

Geometry as POSCAR:
```
Ni2AsCl
1.0
-1.659 1.659 6.132
1.659 -1.659 6.132
1.659 1.659 -6.132
Ni As Cl
2 1 1
direct
0.000 0.000 0.000 Ni
0.750 0.250 0.500 Ni
0.250 0.750 0.500 As
0.500 0.500 0.000 Cl
```

Results
crystal system	tetragonal
total magnetic moment	0.000	μB per formula unit
density of states at the Fermi level	2.962	states/eV per cell


b.
Ni2AsCl: relaxed, PBE.

Geometry as POSCAR:
```
Ni2AsCl
1.0
2.841 -1.639 0.000
2.841 1.639 0.000
-1.903 0.000 6.424
Ni As Cl
2 1 1
direct
0.243 0.243 0.228 Ni
0.757 0.757 0.772 Ni
0.500 0.500 0.000 As
0.000 0.000 0.500 Cl
```

Results
crystal system	monoclinic
total magnetic moment	0.000	μB per formula unit
density of states at the Fermi level	3.128	states/eV per cell


c.
Ni2AsCl: relaxed, PBE.

Geometry as POSCAR:
```
Ni2AsCl
1.0
-1.614 1.666 6.014
1.614 -1.666 6.014
1.614 1.666 -6.014
Ni As Cl
2 1 1
direct
0.000 0.000 0.000 Ni
0.826 0.326 0.500 Ni
0.365 0.865 0.500 As
0.613 0.613 0.000 Cl
```

Results
crystal system	orthorhombic
total magnetic moment	0.000	μB per formula unit
density of states at the Fermi level	2.165	states/eV per cell


d.
Ni2AsCl: relaxed, PBE.

Geometry as POSCAR:
```
Ni2AsCl
1.0
3.045 0.000 0.000
0.000 3.231 0.000
0.000 0.000 6.255
Ni As Cl
2 1 1
direct
0.000 0.000 0.194 Ni
0.000 0.000 0.806 Ni
0.500 0.500 0.000 As
0.500 0.000 0.500 Cl
```

Results
crystal system	orthorhombic
total magnetic moment	0.000	μB per formula unit
density of states at the Fermi level	2.797	states/eV per cell


The winner here is d, beating the second structure by 14 meV/atom.


a.
Ni2AsCl: relaxed, PBE.

Geometry as POSCAR:
```
Ni2AsCl
1.0
0.000 3.106 3.106
3.106 0.000 3.106
3.106 3.106 0.000
Ni As Cl
2 1 1
direct
0.000 0.000 0.000 Ni
0.250 0.250 0.250 Ni
0.750 0.750 0.750 As
0.500 0.500 0.500 Cl
```

Results
crystal system	cubic
total magnetic moment	0.004	μB per formula unit
density of states at the Fermi level	5.301	states/eV per cell


b.
Ni2AsCl: relaxed, PBE.

Geometry as POSCAR:
```
Ni2AsCl
1.0
6.128 -1.696 0.000
6.128 1.696 0.000
-0.903 0.000 3.207
Ni As Cl
2 1 1
direct
0.000 0.000 0.000 Ni
0.173 0.173 0.673 Ni
0.634 0.634 0.134 As
0.367 0.367 0.872 Cl
```

Results
crystal system	monoclinic
total magnetic moment	0.000	μB per formula unit
density of states at the Fermi level	2.598	states/eV per cell


c.
Ni2AsCl: relaxed, PBE.

Geometry as POSCAR:
```
Ni2AsCl
1.0
1.630 -2.787 0.000
1.630 2.787 0.000
0.000 0.000 6.965
Ni As Cl
2 1 1
direct
0.000 0.000 0.231 Ni
0.000 0.000 0.769 Ni
0.500 0.500 0.000 As
0.500 0.500 0.500 Cl
```

Results
crystal system	orthorhombic
total magnetic moment	0.000	μB per formula unit
density of states at the Fermi level	2.455	states/eV per cell


The winner here is b, beating the second structure by 287 meV/atom.


a.
Ni2AsCl: relaxed, PBE.

Geometry as POSCAR:
```
Ni2AsCl
1.0
3.354 -3.341 0.000
3.354 3.341 0.000
-0.492 0.000 2.871
Ni As Cl
2 1 1
direct
0.000 0.500 0.000 Ni
0.500 0.000 0.000 Ni
0.000 0.000 0.000 As
0.500 0.500 0.000 Cl
```

Results
crystal system	monoclinic
total magnetic moment	0.000	μB per formula unit
density of states at the Fermi level	3.547	states/eV per cell


b.
Ni2AsCl: relaxed, PBE.

Geometry as POSCAR:
```
Ni2AsCl
1.0
0.000 3.049 3.049
3.049 0.000 3.049
3.049 3.049 0.000
Ni As Cl
2 1 1
direct
0.250 0.250 0.250 Ni
0.750 0.750 0.750 Ni
0.000 0.000 0.000 As
0.500 0.500 0.500 Cl
```

Results
crystal system	cubic
total magnetic moment	0.000	μB per formula unit
density of states at the Fermi level	1.689	states/eV per cell


c.
Ni2AsCl: relaxed, PBE.

Geometry as POSCAR:
```
Ni2AsCl
1.0
4.365 0.000 0.000
0.000 4.365 0.000
0.000 0.000 2.939
Ni As Cl
2 1 1
direct
0.000 0.500 0.000 Ni
0.500 0.000 0.000 Ni
0.000 0.000 0.500 As
0.500 0.500 0.500 Cl
```

Results
crystal system	tetragonal
total magnetic moment	0.000	μB per formula unit
density of states at the Fermi level	2.739	states/eV per cell


d.
Ni2AsCl: relaxed, PBE.

Geometry as POSCAR:
```
Ni2AsCl
1.0
3.148 0.000 0.000
0.000 3.148 0.000
0.000 0.000 6.808
Ni As Cl
2 1 1
direct
0.000 0.000 0.000 Ni
0.500 0.500 0.194 Ni
0.000 0.000 0.356 As
0.500 0.500 0.838 Cl
```

Results
crystal system	tetragonal
total magnetic moment	0.738	μB per formula unit
density of states at the Fermi level	4.115	states/eV per cell


The winner here is d, beating the second structure by 262 meV/atom.


a.
Ni3AsCl: relaxed, PBE.

Geometry as POSCAR:
```
Ni3AsCl
1.0
4.441 0.000 0.000
0.000 4.441 0.000
0.000 0.000 4.441
Ni As Cl
3 1 1
direct
0.000 0.000 0.500 Ni
0.000 0.500 0.000 Ni
0.500 0.000 0.000 Ni
0.000 0.000 0.000 As
0.500 0.500 0.500 Cl
```

Results
crystal system	cubic
total magnetic moment	0.000	μB per formula unit
density of states at the Fermi level	6.078	states/eV per cell


b.
Ni3AsCl: relaxed, PBE.

Geometry as POSCAR:
```
Ni3AsCl
1.0
4.222 0.000 0.000
0.000 4.222 0.000
0.000 0.000 4.222
Ni As Cl
3 1 1
direct
0.000 0.000 0.500 Ni
0.000 0.500 0.000 Ni
0.500 0.000 0.000 Ni
0.500 0.500 0.500 As
0.000 0.000 0.000 Cl
```

Results
crystal system	cubic
total magnetic moment	0.000	μB per formula unit
density of states at the Fermi level	4.669	states/eV per cell


The winner here is a, beating the second structure by 86 meV/atom.


a.
NpAsCl: relaxed, PBE.

Geometry as POSCAR:
```
NpAsCl
1.0
2.682 -4.750 0.000
2.682 4.750 0.000
0.000 0.000 5.041
Np As Cl
2 2 2
direct
0.246 0.754 0.750 Np
0.754 0.246 0.250 Np
0.438 0.562 0.250 As
0.562 0.438 0.750 As
0.113 0.887 0.250 Cl
0.887 0.113 0.750 Cl
```

Results
crystal system	orthorhombic
total magnetic moment	4.052	μB per formula unit
density of states at the Fermi level	9.418	states/eV per cell


b.
NpAsCl: relaxed, PBE.

Geometry as POSCAR:
```
NpAsCl
1.0
4.621 0.000 0.000
-2.311 4.002 0.000
0.000 0.000 3.625
Np As Cl
1 1 1
direct
0.000 0.000 0.000 Np
0.667 0.333 0.500 As
0.333 0.667 0.000 Cl
```

Results
crystal system	hexagonal
total magnetic moment	3.416	μB per formula unit
density of states at the Fermi level	8.062	states/eV per cell


The winner here is a, beating the second structure by 69 meV/atom.


a.
As2ClO: relaxed, PBE.

Geometry as POSCAR:
```
As2ClO
1.0
-2.381 2.381 7.096
2.381 -2.381 7.096
2.381 2.381 -7.096
As Cl O
4 2 2
direct
0.375 0.242 0.367 As
0.758 0.125 0.133 As
0.875 0.008 0.633 As
0.992 0.625 0.867 As
0.250 0.750 0.500 Cl
0.500 0.500 0.000 Cl
0.000 0.000 0.000 O
0.750 0.250 0.500 O
```

Results
crystal system	tetragonal
total magnetic moment	0.000	μB per formula unit
density of states at the Fermi level	3.924	states/eV per cell


b.
As2ClO: relaxed, PBE.

Geometry as POSCAR:
```
As2ClO
1.0
0.000 3.160 3.160
3.160 0.000 3.160
3.160 3.160 0.000
As Cl O
2 1 1
direct
0.250 0.250 0.250 As
0.750 0.750 0.750 As
0.000 0.000 0.000 Cl
0.500 0.500 0.500 O
```

Results
crystal system	cubic
total magnetic moment	0.000	μB per formula unit
density of states at the Fermi level	2.228	states/eV per cell


The winner here is a, beating the second structure by 707 meV/atom.


a.
As3ClO: relaxed, PBE.

Geometry as POSCAR:
```
As3ClO
1.0
4.519 0.000 0.000
0.000 4.519 0.000
0.000 0.000 4.519
As Cl O
3 1 1
direct
0.000 0.000 0.500 As
0.000 0.500 0.000 As
0.500 0.000 0.000 As
0.500 0.500 0.500 Cl
0.000 0.000 0.000 O
```

Results
crystal system	cubic
total magnetic moment	0.000	μB per formula unit
density of states at the Fermi level	2.546	states/eV per cell


b.
As3ClO: relaxed, PBE.

Geometry as POSCAR:
```
As3ClO
1.0
4.828 0.000 0.000
0.000 4.828 0.000
0.000 0.000 4.828
As Cl O
3 1 1
direct
0.000 0.000 0.500 As
0.000 0.500 0.000 As
0.500 0.000 0.000 As
0.000 0.000 0.000 Cl
0.500 0.500 0.500 O
```

Results
crystal system	cubic
total magnetic moment	0.000	μB per formula unit
density of states at the Fermi level	8.472	states/eV per cell


The winner here is a, beating the second structure by 1080 meV/atom.


a.
As3Pb5ClO9: relaxed, PBE.

Geometry as POSCAR:
```
As3Pb5ClO9
1.0
10.631 0.000 0.000
-5.315 9.206 0.000
0.000 0.000 7.062
As Pb Cl O
6 10 2 18
direct
0.017 0.416 0.250 As
0.399 0.983 0.250 As
0.416 0.399 0.750 As
0.584 0.601 0.250 As
0.601 0.017 0.750 As
0.983 0.584 0.750 As
0.043 0.774 0.250 Pb
0.226 0.269 0.250 Pb
0.269 0.043 0.750 Pb
0.333 0.667 0.010 Pb
0.333 0.667 0.490 Pb
0.667 0.333 0.510 Pb
0.667 0.333 0.990 Pb
0.731 0.957 0.250 Pb
0.774 0.731 0.750 Pb
0.957 0.226 0.750 Pb
0.000 0.000 0.000 Cl
0.000 0.000 0.500 Cl
0.096 0.373 0.056 O
0.096 0.373 0.444 O
0.150 0.613 0.250 O
0.276 0.904 0.056 O
0.276 0.904 0.444 O
0.373 0.276 0.556 O
0.373 0.276 0.944 O
0.387 0.537 0.250 O
0.463 0.850 0.250 O
0.537 0.150 0.750 O
0.613 0.463 0.750 O
0.627 0.724 0.056 O
0.627 0.724 0.444 O
0.724 0.096 0.556 O
0.724 0.096 0.944 O
0.850 0.387 0.750 O
0.904 0.627 0.556 O
0.904 0.627 0.944 O
```

Results
crystal system	hexagonal
total magnetic moment	0.000	μB per formula unit
density of states at the Fermi level	0.000	states/eV per cell


b.
As3Pb5ClO9: relaxed, PBE.

Geometry as POSCAR:
```
As3Pb5ClO9
1.0
10.655 0.000 0.000
-5.327 9.227 0.000
0.000 0.000 7.562
As Pb Cl O
6 10 2 18
direct
0.042 0.702 0.000 As
0.298 0.340 0.000 As
0.340 0.042 0.500 As
0.660 0.958 0.000 As
0.702 0.660 0.500 As
0.958 0.298 0.500 As
0.000 0.000 0.194 Pb
0.000 0.000 0.694 Pb
0.049 0.690 0.499 Pb
0.310 0.358 0.499 Pb
0.333 0.667 0.842 Pb
0.358 0.049 0.999 Pb
0.642 0.951 0.499 Pb
0.667 0.333 0.342 Pb
0.690 0.642 0.999 Pb
0.951 0.310 0.999 Pb
0.333 0.667 0.488 Cl
0.667 0.333 0.988 Cl
0.057 0.198 0.478 O
0.139 0.732 0.789 O
0.141 0.943 0.478 O
0.169 0.358 0.127 O
0.189 0.831 0.127 O
0.198 0.141 0.978 O
0.268 0.407 0.789 O
0.358 0.189 0.627 O
0.407 0.139 0.289 O
0.593 0.861 0.789 O
0.642 0.811 0.127 O
0.732 0.593 0.289 O
0.802 0.859 0.478 O
0.811 0.169 0.627 O
0.831 0.642 0.627 O
0.859 0.057 0.978 O
0.861 0.268 0.289 O
0.943 0.802 0.978 O
```

Results
crystal system	hexagonal
total magnetic moment	0.000	μB per formula unit
density of states at the Fermi level	0.000	states/eV per cell


The winner here is a, beating the second structure by 63 meV/atom.